Material: PmTh3Zn8
Method: DFT, GGA-PBE
State: relaxed

Values from the calculation:
ΔH_f (0 K): -0.230 eV per atom

Unit cell a=5.6885 b=5.6885 c=8.7775 alpha=90.00 beta=90.00 gamma=120.00
Last column: nearest neighbours and their distance in Å.
Atoms (fractional coordinates):
Zn: 0.3333 0.6667 0.4990  6 Zn 2.74-2.75
Zn: 0.6722 0.8361 0.2513  6 Zn 2.74-2.89
Zn: 0.5027 0.0055 0.7486  6 Zn 2.75-2.89
Zn: 0.1639 0.8361 0.2513  6 Zn 2.74-2.89
Zn: 0.9945 0.4973 0.7486  6 Zn 2.75-2.89
Zn: 0.3333 0.6667 0.9999  6 Zn 2.77
Zn: 0.1639 0.3278 0.2513  6 Zn 2.74-2.89
Zn: 0.5027 0.4973 0.7486  6 Zn 2.75-2.89
Th: 0.6667 0.3333 0.4300  1 Th 3.19, 12 Zn 3.23-3.34, 3 Pm 3.51
Th: 0.6667 0.3333 0.0667  4 Th 3.19-3.48, 12 Zn 3.23-3.34
Th: 0.0000 0.0000 0.9351  1 Pm 3.21, 12 Zn 3.21-3.33, 3 Th 3.48
Pm: 0.0000 0.0000 0.5697  4 Th 3.21-3.51, 12 Zn 3.23-3.34

***

Material: Re5Os4
Method: DFT, GGA-PBE
State: relaxed

Values from the calculation:
ΔH_f (0 K): 0.138 eV per atom

Unit cell a=7.5414 b=7.5414 c=5.4632 alpha=90.00 beta=90.00 gamma=60.00
Last column: nearest neighbours and their distance in Å.
Atoms (fractional coordinates):
Os: 0.0000 0.6674 0.2500  5 Re 2.51-2.73
Os: 0.3326 0.6674 0.7500  5 Re 2.51-2.73
Os: 0.0000 0.0000 0.5000  8 Os 2.73-2.86, 6 Re 2.87
Os: 0.0000 0.0000 0.0000  8 Os 2.73-2.86, 6 Re 2.87
Os: 0.0000 0.3326 0.7500  5 Re 2.51-2.73
Os: 0.6674 0.0000 0.7500  5 Re 2.51-2.73
Os: 0.3326 0.0000 0.2500  5 Re 2.51-2.73
Os: 0.6674 0.3326 0.2500  5 Re 2.51-2.73
Re: 0.3333 0.3333 0.5000  8 Re 2.73-2.86, 6 Os 2.86
Re: 0.3340 0.6660 0.2500  5 Os 2.51-2.73
Re: 0.3333 0.3333 0.0000  8 Re 2.73-2.86, 6 Os 2.86
Re: 0.6667 0.6667 0.0000  8 Re 2.73-2.86, 6 Os 2.86
Re: 0.6667 0.6667 0.5000  8 Re 2.73-2.86, 6 Os 2.86
Re: 0.6660 0.3340 0.7500  5 Os 2.51-2.73
Re: 0.6660 0.0000 0.2500  5 Os 2.51-2.73
Re: 0.0000 0.6660 0.7500  5 Os 2.51-2.73
Re: 0.3340 0.0000 0.7500  5 Os 2.51-2.73
Re: 0.0000 0.3340 0.2500  5 Os 2.51-2.73

***

Material: LiAcNi
Method: DFT, GGA-PBE
State: relaxed

Values from the calculation:
ΔH_f (0 K): -0.067 eV per atom
energy relative to the lowest polymorph listed for this composition: 0.0848 eV/atom

Unit cell a=4.1588 b=4.3593 c=4.3593 alpha=120.00 beta=90.00 gamma=90.00
Last column: nearest neighbours and their distance in Å.
Atoms (fractional coordinates):
Ac: 0.6664 0.6667 0.3333  6 Ni 3.26-3.27, 6 Li 3.26-3.27
Ni: 0.1674 0.0000 0.0000  3 Li 2.52
Li: 0.1662 0.3333 0.6667  3 Ni 2.52

***

Material: Sr2Ti6N2O11
Method: DFT, GGA-PBE
State: relaxed

Values from the calculation:
energy relative to the lowest polymorph listed for this composition: 0.0033 eV/atom
formation energy from raw total energies: -268.9 kJ/mol of atoms

Unit cell a=7.8125 b=7.8125 c=9.3689 alpha=80.59 beta=80.59 gamma=28.53
Last column: nearest neighbours and their distance in Å.
Atoms (fractional coordinates):
N: 0.8392 0.8392 0.8989  2 Ti 1.82-1.84
N: 0.2297 0.2297 0.7538  4 Ti 1.98-2.11
Ti: 0.2273 0.2273 0.2379  4 O 1.81-1.98
Ti: 0.8317 0.8317 0.4324  2 O 1.77-1.85
Ti: 0.8735 0.8735 0.0755  1 N 1.82, 3 O 1.87-1.98
Ti: 0.1193 0.1193 0.9005  5 O 1.93-2.11, 1 N 1.98
Ti: 0.1632 0.1632 0.5735  4 O 1.86-1.97
Ti: 0.7605 0.7605 0.7687  3 N 1.84-1.99, 1 O 2.01
O: 0.1256 0.1256 0.3860  2 Ti 1.89-1.94
O: 0.1601 0.1601 0.0952  2 Ti 1.81-2.02
O: 0.8686 0.8686 0.6108  2 Ti 1.85-2.01
O: 0.2953 0.2953 0.4288  4 Ti 2.00-2.22
O: 0.6920 0.6920 0.5685  2 Ti 1.97
O: 0.9978 0.9978 0.0134  2 Ti 1.87-1.96
O: 0.3589 0.3589 0.1217  3 Ti 1.98-2.10
O: 0.7576 0.7576 0.2437  3 Ti 1.98-2.15
O: 0.6314 0.6314 0.9004  3 Ti 1.93-2.13
O: 0.0598 0.0598 0.7128  1 Ti 1.86
O: 0.9339 0.9339 0.3085  1 Ti 1.77
Sr: 0.5354 0.5354 0.2078  6 O 2.54-2.78
Sr: 0.4437 0.4437 0.7491  4 O 2.59-2.68, 2 N 2.73

***

Material: Mg4GaAu3
Method: DFT, GGA-PBE
State: relaxed

Values from the calculation:
ΔH_f (0 K): -0.499 eV per atom

Unit cell a=3.3747 b=3.3747 c=12.8337 alpha=90.00 beta=90.00 gamma=90.00
Last column: nearest neighbours and their distance in Å.
Atoms (fractional coordinates):
Mg: 0.0000 0.0000 0.8713  4 Au 2.84, 4 Ga 2.90, 1 Mg 3.17
Mg: 0.0000 0.0000 0.3757  8 Au 2.87-2.89, 2 Mg 3.17-3.19
Mg: 0.0000 0.0000 0.1287  4 Au 2.84, 4 Ga 2.90, 1 Mg 3.17
Mg: 0.0000 0.0000 0.6243  8 Au 2.87-2.89, 2 Mg 3.17-3.19
Au: 0.5000 0.5000 0.5000  8 Mg 2.87
Au: 0.5000 0.5000 0.2486  8 Mg 2.84-2.89
Au: 0.5000 0.5000 0.7514  8 Mg 2.84-2.89
Ga: 0.5000 0.5000 0.0000  8 Mg 2.90, 2 Au 3.19

***

Material: Dy4HoSc8
Method: DFT, GGA-PBE
State: relaxed

Values from the calculation:
ΔH_f (0 K): 0.595 eV per atom

Unit cell a=7.3663 b=7.3663 c=7.3663 alpha=90.10 beta=90.10 gamma=90.10
Last column: nearest neighbours and their distance in Å.
Atoms (fractional coordinates):
Ho: 0.5000 0.5000 0.5000  8 Sc 3.31-3.32, 6 Dy 3.68
Dy: 0.5000 0.0000 0.5000  8 Sc 3.23-3.24
Dy: 0.0000 0.0000 0.0000  8 Sc 3.06
Dy: 0.0000 0.5000 0.5000  8 Sc 3.23-3.24
Dy: 0.5000 0.5000 0.0000  8 Sc 3.23-3.24
Sc: 0.7604 0.2410 0.7604  4 Dy 3.06-3.24, 1 Ho 3.32
Sc: 0.2400 0.2400 0.2400  4 Dy 3.06-3.24, 1 Ho 3.31
Sc: 0.7604 0.7604 0.2410  4 Dy 3.06-3.24, 1 Ho 3.32
Sc: 0.2396 0.2396 0.7590  4 Dy 3.06-3.24, 1 Ho 3.32
Sc: 0.2410 0.7604 0.7604  4 Dy 3.06-3.24, 1 Ho 3.32
Sc: 0.2396 0.7590 0.2396  4 Dy 3.06-3.24, 1 Ho 3.32
Sc: 0.7590 0.2396 0.2396  4 Dy 3.06-3.24, 1 Ho 3.32
Sc: 0.7600 0.7600 0.7600  4 Dy 3.06-3.24, 1 Ho 3.31

***

Material: NiOs2Se
Method: DFT, GGA-PBE
State: relaxed

Values from the calculation:
formation energy from raw total energies: 40.1 kJ/mol of atoms

Unit cell a=3.6952 b=2.8311 c=5.9190 alpha=72.71 beta=90.00 gamma=90.00
Last column: nearest neighbours and their distance in Å.
Atoms (fractional coordinates):
Os: 0.0000 0.0556 0.9976  1 Se 2.54, 6 Os 2.61-2.83, 4 Ni 2.71-2.73
Os: 0.5000 0.4268 0.2052  1 Ni 2.58, 6 Os 2.61-2.83, 2 Se 2.69
Se: 0.0000 0.2977 0.5487  4 Ni 2.52-2.66, 3 Os 2.54-2.69
Ni: 0.5000 0.7199 0.7484  4 Se 2.52-2.66, 5 Os 2.58-2.73

***

Material: Ca3MgAl
Method: DFT, GGA-PBE
State: relaxed

Values from the calculation:
ΔH_f (0 K): -0.124 eV per atom
energy relative to the lowest polymorph listed for this composition: 0.0000 eV/atom

Unit cell a=5.4032 b=5.4052 c=10.8315 alpha=90.00 beta=75.56 gamma=90.00
Last column: nearest neighbours and their distance in Å.
Atoms (fractional coordinates):
Ca: 0.2553 0.7500 0.1378  2 Al 3.30, 2 Mg 3.30
Ca: 0.5743 0.2500 0.4997  4 Mg 3.30, 4 Al 3.30-3.31
Ca: 0.0740 0.7500 0.5003  4 Mg 3.30, 4 Al 3.30-3.31
Ca: 0.8932 0.7500 0.8619  2 Al 3.30, 2 Mg 3.30
Ca: 0.7551 0.2500 0.1381  2 Al 3.30, 2 Mg 3.30
Ca: 0.3931 0.2500 0.8622  2 Al 3.30, 2 Mg 3.30
Al: 0.9835 0.2500 0.6814  8 Ca 3.30-3.31
Al: 0.6649 0.7500 0.3186  8 Ca 3.30-3.31
Mg: 0.4837 0.7500 0.6809  8 Ca 3.30
Mg: 0.1646 0.2500 0.3191  8 Ca 3.30